Here is Ga2FeF after structural relaxation from Alexandria. Energies are from PBE+U.

Output
As for the space-group type: Fm-3m (225). The total energy comes out at -3.49 eV per atom.

Cell: 4.5801 4.5801 4.5801 Å, 60.00 60.00 60.00°
Positions (direct):
Ga  0.2500  0.2500  0.2500
Ga  0.7500  0.7500  0.7500
Fe  0.0000  0.0000  0.0000
F  0.5000  0.5000  0.5000